Record 1
DFT (PBE) results for a relaxed structure of Os2SeBr.

Lattice parameters (Å, degrees): 2.9195 2.9195 10.6895 90.00 90.00 122.51
Fractional positions:
Os1 0.5000 0.5000 0.2291
Os2 0.0000 0.0000 0.0327
Se1 0.0000 0.0000 0.4440
Br1 0.5000 0.5000 0.7942

Values from the calculation:
The total energy is -6.03 eV/atom. The magnetic moment is 0.000 μB/f.u. As for the space group: Cmm2, No. 35. For the formation energy (no corrections), the calculation gives 0.87 eV/atom. Its energy above the most stable polymorph in this dataset is 479.8 meV/atom.



Record 2
DFT (PBE) results for a relaxed structure of Os2SeBr.

Lattice parameters (Å, degrees): 3.1581 4.4974 4.4974 90.00 90.00 90.00
Fractional positions:
Os1 0.0000 0.5000 0.5000
Os2 0.0000 0.0000 0.0000
Se1 0.5000 0.5000 0.0000
Br1 0.5000 0.0000 0.5000

Values from the calculation:
The total energy is -5.56 eV/atom. The magnetic moment is 0.000 μB/f.u. As for the space group: P4/mmm, No. 123. For the formation energy (no corrections), the calculation gives 1.34 eV/atom. Its energy above the most stable polymorph in this dataset is 950.8 meV/atom.



Record 3
DFT (PBE) results for a relaxed structure of OsSe2Br.

Lattice parameters (Å, degrees): 3.4724 3.4724 7.4576 90.00 90.00 90.00
Fractional positions:
Se1 0.5000 0.5000 0.1621
Se2 0.0000 0.0000 0.9508
Br1 0.0000 0.0000 0.5524
Os1 0.5000 0.5000 0.8347

Values from the calculation:
The total energy is -4.28 eV/atom. The magnetic moment is 0.026 μB/f.u. As for the space group: P4mm, No. 99. For the formation energy (no corrections), the calculation gives 0.69 eV/atom. Its energy above the most stable polymorph in this dataset is 653.7 meV/atom.



Record 4
DFT (PBE) results for a relaxed structure of OsSeBr2.

Lattice parameters (Å, degrees): 3.1015 3.1017 9.1593 90.00 90.00 90.00
Fractional positions:
Os1 0.5000 0.5000 0.2500
Br1 0.0000 0.0000 0.4253
Br2 0.0000 0.0000 0.0747
Se1 0.5000 0.5000 0.7500

Values from the calculation:
The total energy is -3.49 eV/atom. The magnetic moment is 0.000 μB/f.u. As for the space group: P4/mmm, No. 123. For the formation energy (no corrections), the calculation gives 1.02 eV/atom. Its energy above the most stable polymorph in this dataset is 950.3 meV/atom.



Record 5
DFT (PBE) results for a relaxed structure of Os2SeBr.

Lattice parameters (Å, degrees): 5.5950 5.5950 6.8246 65.80 65.80 90.00
Fractional positions:
Os1 0.8750 0.8535 0.7500
Os2 0.1465 0.6250 0.2500
Os3 0.6035 0.1250 0.2500
Os4 0.3750 0.3965 0.7500
Se1 0.2500 0.7500 0.5000
Se2 0.5000 0.5000 0.0000
Br1 0.0000 0.0000 0.0000
Br2 0.7500 0.2500 0.5000

Values from the calculation:
The total energy is -5.64 eV/atom. The magnetic moment is 0.000 μB/f.u. As for the space group: I-42d, No. 122. For the formation energy (no corrections), the calculation gives 1.26 eV/atom. Its energy above the most stable polymorph in this dataset is 867.5 meV/atom.



Record 6
DFT (PBE) results for a relaxed structure of OsSe2Br.

Lattice parameters (Å, degrees): 2.9908 2.9908 10.4859 90.00 90.00 90.00
Fractional positions:
Os1 0.5000 0.5000 0.7811
Se1 0.5000 0.5000 0.2205
Se2 0.0000 0.0000 0.9127
Br1 0.0000 0.0000 0.5857

Values from the calculation:
The total energy is -4.42 eV/atom. The magnetic moment is 0.000 μB/f.u. As for the space group: P4mm, No. 99. For the formation energy (no corrections), the calculation gives 0.55 eV/atom. Its energy above the most stable polymorph in this dataset is 517.5 meV/atom.